[1]
Computed, not measured: Cd2SnF after structural relaxation at the PBE-GGA level of DFT.

Computed properties:
- density (g cm⁻³) = 7.09
- E_tot (eV per atom) = -2.4116
- energy relative to the elements, uncorrected (eV/atom) = -0.4855
- offset from the most stable computed form (eV/atom) = 0.1841

Lattice parameters (Å, degrees): 6.978 6.978 6.978 90.00 90.00 90.00
Space group Fm-3m (No. 225)
One atom of each set of equivalent atoms:
Cd (0.250, 0.250, 0.250) [8 per cell]
Sn (0.000, 0.000, 0.000) [4 per cell]
F (0.000, 0.000, 0.500) [4 per cell]

[2]
Computed, not measured: CdSnF4 after structural relaxation at the PBE-GGA level of DFT.

Computed properties:
- density (g cm⁻³) = 4.80
- E_tot (eV per atom) = -4.2771
- energy relative to the elements, uncorrected (eV/atom) = -2.2099

Lattice parameters (Å, degrees): 12.275 7.101 4.874 90.00 90.00 90.00
Space group Pnma (No. 62)
One atom of each set of equivalent atoms:
Cd (0.000, 0.000, 0.000) [4 per cell]
Sn (0.224, 0.250, 0.473) [4 per cell]
F (0.047, 0.250, 0.273) [4 per cell]
F (0.097, 0.750, 0.180) [4 per cell]
F (0.161, 0.051, 0.778) [8 per cell]

[3]
Computed, not measured: Cd5Sn3F12 after structural relaxation at the PBE-GGA level of DFT.

Computed properties:
- density (g cm⁻³) = 5.30
- E_tot (eV per atom) = -3.7370
- energy relative to the elements, uncorrected (eV/atom) = -1.7850

Lattice parameters (Å, degrees): 14.214 14.214 14.214 90.00 90.00 90.00
Space group Ia-3d (No. 230)
One atom of each set of equivalent atoms:
Cd (0.000, 0.000, 0.000) [16 per cell]
Cd (0.000, 0.250, 0.375) [24 per cell]
Sn (0.000, 0.250, 0.125) [24 per cell]
F (0.024, 0.076, 0.640) [96 per cell]

[4]
Computed, not measured: CdSn2F6 after structural relaxation at the PBE-GGA level of DFT.

Computed properties:
- density (g cm⁻³) = 5.33
- E_tot (eV per atom) = -4.4502
- energy relative to the elements, uncorrected (eV/atom) = -2.2115
- offset from the most stable computed form (eV/atom) = 0.0000

Lattice parameters (Å, degrees): 7.164 4.080 9.884 90.00 90.32 90.00
Space group C2/m (No. 12)
One atom of each set of equivalent atoms:
Cd (0.000, 0.000, 0.000) [2 per cell]
Sn (0.177, 0.500, 0.679) [4 per cell]
F (0.012, 0.000, 0.230) [4 per cell]
F (0.166, 0.500, 0.926) [4 per cell]
F (0.178, 0.500, 0.404) [4 per cell]

[5]
Computed, not measured: Cd3SnF after structural relaxation at the PBE-GGA level of DFT.

Computed properties:
- density (g cm⁻³) = 4.52
- E_tot (eV per atom) = -1.8570
- energy relative to the elements, uncorrected (eV/atom) = -0.1331
- offset from the most stable computed form (eV/atom) = 0.2116

Lattice parameters (Å, degrees): 5.587 5.587 5.587 90.00 90.00 90.00
Space group Pm-3m (No. 221)
One atom of each set of equivalent atoms:
Cd (0.000, 0.000, 0.500) [3 per cell]
Sn (0.000, 0.000, 0.000) [1 per cell]
F (0.500, 0.500, 0.500) [1 per cell]

[6]
Computed, not measured: CdSn2F11 after structural relaxation at the PBE-GGA level of DFT.

Computed properties:
- density (g cm⁻³) = 4.37
- E_tot (eV per atom) = -4.2267
- energy relative to the elements, uncorrected (eV/atom) = -2.1192

Lattice parameters (Å, degrees): 7.958 10.036 10.639 90.00 90.00 90.00
Space group Ibam (No. 72)
One atom of each set of equivalent atoms:
Cd (0.000, 0.000, 0.250) [4 per cell]
Sn (0.146, 0.309, 0.000) [8 per cell]
F (0.000, 0.500, 0.000) [4 per cell]
F (0.105, 0.175, 0.136) [16 per cell]
F (0.117, 0.293, 0.500) [8 per cell]
F (0.245, 0.082, 0.367) [16 per cell]